Here is a relaxed LiAl5Ni4 crystal from Alexandria. Energies are from GGA-PBE.

Summary:
The formation energy from the elements comes out at -0.555 eV per atom. The total DFT energy (no corrections) is -4.930 eV per atom. The calculation puts the density of states at the Fermi level at 2.3 states/eV/cell. As for the symmetry: No. 123.

a = 2.951 Å, b = 2.951 Å, c = 14.403 Å
α = 90.00°, β = 90.00°, γ = 90.00°
Element x y z (fractional)
Li  0.000  0.000  0.000
Al  0.500  0.500  0.113
Al  0.500  0.500  0.305
Al  0.500  0.500  0.500
Al  0.500  0.500  0.695
Al  0.500  0.500  0.887
Ni  0.000  0.000  0.206
Ni  0.000  0.000  0.403
Ni  0.000  0.000  0.597
Ni  0.000  0.000  0.794